A plane-wave DFT calculation with PBE was carried out for a relaxed BaNa2SrHg4 crystal.

a = 9.646 Å, b = 9.646 Å, c = 9.646 Å
α = 33.72°, β = 33.72°, γ = 33.72°
Positions (direct):
Ba 0.000 0.000 0.000
Na 0.249 0.249 0.249
Na 0.751 0.751 0.751
Sr 0.500 0.500 0.500
Hg 0.128 0.128 0.128
Hg 0.378 0.378 0.378
Hg 0.622 0.622 0.622
Hg 0.872 0.872 0.872

Volume, Å³/f.u.: 246.33
Calculated density, kg/m³: 7235
Calculated total energy, Ry/atom: -0.096
Energy of formation from the pure elements, kJ/mol of formula units: -293
Space-group type: R-3m (166)

***

A plane-wave DFT calculation with PBE was carried out for a relaxed KMg4Tl2 crystal.

a = 19.699 Å, b = 4.839 Å, c = 8.601 Å
α = 90.00°, β = 90.00°, γ = 90.00°
Positions (direct):
K 0.107 0.250 0.002
K 0.393 0.750 0.502
K 0.607 0.250 0.498
K 0.893 0.750 0.998
Mg 0.042 0.750 0.680
Mg 0.103 0.250 0.493
Mg 0.195 0.750 0.327
Mg 0.200 0.750 0.684
Mg 0.300 0.250 0.184
Mg 0.305 0.250 0.827
Mg 0.397 0.750 0.993
Mg 0.458 0.250 0.180
Mg 0.542 0.750 0.820
Mg 0.603 0.250 0.007
Mg 0.695 0.750 0.173
Mg 0.700 0.750 0.816
Mg 0.800 0.250 0.316
Mg 0.805 0.250 0.673
Mg 0.897 0.750 0.507
Mg 0.958 0.250 0.320
Tl 0.039 0.750 0.307
Tl 0.246 0.750 0.007
Tl 0.254 0.250 0.507
Tl 0.461 0.250 0.807
Tl 0.539 0.750 0.193
Tl 0.746 0.750 0.493
Tl 0.754 0.250 0.993
Tl 0.961 0.250 0.693

Volume, Å³/f.u.: 205.00
Calculated density, kg/m³: 4415
Calculated total energy, Ry/atom: -0.130
Energy of formation from the pure elements, kJ/mol of formula units: -19
Space-group type: Pnma (62)

***

A plane-wave DFT calculation with PBE was carried out for a relaxed GaGeH crystal.

a = 4.358 Å, b = 4.359 Å, c = 7.471 Å
α = 105.42°, β = 92.32°, γ = 118.27°
Positions (direct):
Ga 0.000 0.000 0.000
Ga 0.295 0.796 0.500
Ge 0.220 0.675 0.152
Ge 0.772 0.728 0.652
H 0.572 0.287 0.627
H 0.636 0.850 0.127

Volume, Å³/f.u.: 59.08
Energy relative to the lowest polymorph listed for this composition, meV per atom: 35
Calculated density, kg/m³: 4030
Calculated total energy, Ry/atom: -0.258
Space-group type: P1 (1)

***

A plane-wave DFT calculation with PBE was carried out for a relaxed Cs2Hg4P crystal.

a = 10.442 Å, b = 10.442 Å, c = 10.442 Å
α = 149.85°, β = 149.85°, γ = 43.16°
Positions (direct):
Cs 0.147 0.147 0.000
Cs 0.853 0.853 0.000
Hg 0.000 0.500 0.500
Hg 0.349 0.349 0.000
Hg 0.500 0.000 0.500
Hg 0.651 0.651 0.000
P 0.500 0.500 0.000

Volume, Å³/f.u.: 286.50
Calculated density, kg/m³: 6370
Calculated total energy, Ry/atom: -0.096
Energy of formation from the pure elements, kJ/mol of formula units: -79
Space-group type: I4/mmm (139)

***

A plane-wave DFT calculation with PBE was carried out for a relaxed SbAsAu crystal.

a = 6.187 Å, b = 6.187 Å, c = 6.187 Å
α = 149.47°, β = 141.99°, γ = 49.51°
Positions (direct):
Sb 0.000 0.000 0.000
As 0.759 0.759 0.000
Au 0.347 0.347 0.000

Volume, Å³/f.u.: 73.74
Energy relative to the lowest polymorph listed for this composition, meV per atom: 266
ΔE_f (raw), meV per atom: 235
Calculated density, kg/m³: 8864
Calculated total energy, Ry/atom: -0.278
Space-group type: Imm2 (44)

***

A plane-wave DFT calculation with PBE was carried out for a relaxed NaHBr2 crystal.

a = 6.478 Å, b = 6.478 Å, c = 6.478 Å
α = 122.78°, β = 122.78°, γ = 85.24°
Positions (direct):
Na 0.000 0.000 0.000
Na 0.750 0.250 0.500
H 0.250 0.750 0.500
H 0.500 0.500 0.000
Br 0.219 0.625 0.094
Br 0.375 0.469 0.594
Br 0.531 0.125 0.906
Br 0.875 0.781 0.406

Volume, Å³/f.u.: 91.72
Energy relative to the lowest polymorph listed for this composition, meV per atom: 384
Calculated density, kg/m³: 3328
Calculated total energy, Ry/atom: -0.185
Space-group type: I-42d (122)

***

A plane-wave DFT calculation with PBE was carried out for a relaxed BaIn2Se2 crystal.

a = 8.756 Å, b = 8.756 Å, c = 8.756 Å
α = 151.19°, β = 151.19°, γ = 41.20°
Positions (direct):
Ba 0.000 0.000 0.000
In 0.250 0.750 0.500
In 0.750 0.250 0.500
Se 0.405 0.405 0.000
Se 0.595 0.595 0.000

Volume, Å³/f.u.: 155.60
Energy relative to the lowest polymorph listed for this composition, meV per atom: 0
ΔE_f (raw), meV per atom: -772
Calculated density, kg/m³: 5601
Calculated total energy, Ry/atom: -0.268
Space-group type: I4/mmm (139)

***

A plane-wave DFT calculation with PBE was carried out for a relaxed TbCe3Sm4Se8 crystal.

a = 8.350 Å, b = 8.350 Å, c = 8.350 Å
α = 59.98°, β = 59.98°, γ = 59.98°
Positions (direct):
Tb 0.000 0.000 0.000
Ce 0.000 0.500 0.500
Ce 0.500 0.000 0.500
Ce 0.500 0.500 0.000
Sm 0.000 0.000 0.500
Sm 0.000 0.500 0.000
Sm 0.500 0.000 0.000
Sm 0.500 0.500 0.500
Se 0.246 0.752 0.752
Se 0.248 0.248 0.754
Se 0.248 0.754 0.248
Se 0.249 0.249 0.249
Se 0.751 0.751 0.751
Se 0.752 0.246 0.752
Se 0.752 0.752 0.246
Se 0.754 0.248 0.248

Volume, Å³/f.u.: 411.37
ΔE_f (raw), meV per atom: -1819
Calculated density, kg/m³: 7316
Calculated total energy, Ry/atom: -0.451
Space-group type: R-3m (166)

***

A plane-wave DFT calculation with PBE was carried out for a relaxed Tl2AuS crystal.

a = 7.507 Å, b = 7.507 Å, c = 7.507 Å
α = 31.61°, β = 31.61°, γ = 31.61°
Positions (direct):
Tl 0.247 0.247 0.247
Tl 0.753 0.753 0.753
Au 0.000 0.000 0.000
S 0.500 0.500 0.500

Volume, Å³/f.u.: 103.21
Energy relative to the lowest polymorph listed for this composition, meV per atom: 0
ΔE_f (raw), meV per atom: -110
Calculated density, kg/m³: 10262
Calculated total energy, Ry/atom: -0.231
Space-group type: R-3m (166)

***

A plane-wave DFT calculation with PBE was carried out for a relaxed BaSiOs crystal.

a = 4.105 Å, b = 4.105 Å, c = 5.182 Å
α = 90.00°, β = 90.00°, γ = 120.00°
Positions (direct):
Ba 0.000 0.000 0.000
Si 0.333 0.667 0.500
Os 0.667 0.333 0.500

Volume, Å³/f.u.: 75.61
ΔE_f (raw), meV per atom: -133
Calculated density, kg/m³: 7810
Calculated total energy, Ry/atom: -0.465
Space-group type: P-6m2 (187)

***

A plane-wave DFT calculation with PBE was carried out for a relaxed BaLiPd2 crystal.

a = 9.002 Å, b = 9.002 Å, c = 9.002 Å
α = 147.01°, β = 147.01°, γ = 47.35°
Positions (direct):
Ba 0.000 0.000 0.000
Ba 0.750 0.250 0.500
Li 0.250 0.750 0.500
Li 0.500 0.500 0.000
Pd 0.328 0.125 0.703
Pd 0.375 0.672 0.797
Pd 0.422 0.625 0.297
Pd 0.875 0.578 0.203

Volume, Å³/f.u.: 107.72
Energy relative to the lowest polymorph listed for this composition, meV per atom: 125
Calculated density, kg/m³: 5505
Calculated total energy, Ry/atom: -0.284
Energy of formation from the pure elements, kJ/mol of formula units: -118
Space-group type: I-42d (122)

***

A plane-wave DFT calculation with PBE was carried out for a relaxed Si2Au crystal.

a = 3.422 Å, b = 3.422 Å, c = 5.000 Å
α = 90.00°, β = 90.00°, γ = 120.00°
Positions (direct):
Si 0.333 0.667 0.343
Si 0.667 0.333 0.657
Au 0.000 0.000 0.000

Volume, Å³/f.u.: 50.70
Energy relative to the lowest polymorph listed for this composition, meV per atom: 77
ΔE_f (raw), meV per atom: 173
Calculated density, kg/m³: 8291
Calculated total energy, Ry/atom: -0.333
Space-group type: P-3m1 (164)